1.
# SmZn2Pd2 | the Alexandria database | PBE | optimized geometry
data_SmZn2Pd2
_space_group_name_H-M_alt 'P n m a'
_space_group_IT_number 62
_cell_length_a 7.2727
_cell_length_b 4.3368
_cell_length_c 11.7293
_cell_angle_alpha 90.00
_cell_angle_beta 90.00
_cell_angle_gamma 90.00
loop_
_space_group_symop_operation_xyz
'x,y,z'
'-x,-y,-z'
'-x+1/2,-y,z+1/2'
'x+1/2,y,-z+1/2'
'x+1/2,-y+1/2,-z+1/2'
'-x+1/2,y+1/2,z+1/2'
'-x,y+1/2,-z'
'x,-y+1/2,z'
loop_
_atom_site_label
_atom_site_fract_x
_atom_site_fract_y
_atom_site_fract_z
Sm1 0.1383 0.2500 0.1869
Zn1 0.0310 0.2500 0.4428
Zn2 0.1997 0.2500 0.8831
Pd1 0.0607 0.2500 0.6713
Pd2 0.1278 0.7500 0.0060
# - Volume: 18.5 A^3/atom
# - N(E_F): 0.319 states/eV/atom
# - M_tot: 0.00 μB/f.u.
# - VASP energy: -4.159 eV/atom
# - Formation enthalpy at 0 K: -629 meV/atom


2.
# Ir2Au | the Alexandria database | PBE | optimized geometry
data_Ir2Au
_space_group_name_H-M_alt 'P -3 m 1'
_space_group_IT_number 164
_space_group_name_Hall '-P 3 2"'
_cell_length_a 2.7953
_cell_length_b 2.7953
_cell_length_c 6.9287
_cell_angle_alpha 90.00
_cell_angle_beta 90.00
_cell_angle_gamma 120.00
loop_
_atom_site_label
_atom_site_fract_x
_atom_site_fract_y
_atom_site_fract_z
Ir1 0.3333 0.6667 0.1528
Au1 0.0000 0.0000 0.5000
# - Volume: 15.6 A^3/atom
# - N(E_F): 0.831 states/eV/atom
# - M_tot: 0.00 μB/f.u.
# - VASP energy: -6.777 eV/atom
# - Formation enthalpy at 0 K: 223 meV/atom


3.
# BiTePb2 | the Alexandria database | PBE | optimized geometry
data_BiTePb2
_space_group_name_H-M_alt 'P 4/m m m'
_space_group_IT_number 123
_space_group_name_Hall '-P 4 2'
_cell_length_a 3.8452
_cell_length_b 3.8452
_cell_length_c 8.6192
_cell_angle_alpha 90.00
_cell_angle_beta 90.00
_cell_angle_gamma 90.00
loop_
_atom_site_label
_atom_site_fract_x
_atom_site_fract_y
_atom_site_fract_z
Bi1 0.0000 0.0000 0.0000
Te1 0.0000 0.0000 0.5000
Pb1 0.5000 0.5000 0.2678
# - ΔE_f (raw): -0.038 eV per atom
# - Volume: 31.9 A^3/atom
# - N(E_F): 0.398 states/eV/atom
# - M_tot: 0.00 μB/f.u.
# - VASP energy: -3.648 eV/atom


4.
# Ca3AgSn3Bi2 | the Alexandria database | PBE | optimized geometry
data_Ca3AgSn3Bi2
_space_group_name_H-M_alt 'P -6 2 m'
_space_group_IT_number 189
_space_group_name_Hall 'P -6 -2'
_cell_length_a 8.2413
_cell_length_b 8.2413
_cell_length_c 4.4570
_cell_angle_alpha 90.00
_cell_angle_beta 90.00
_cell_angle_gamma 120.00
loop_
_atom_site_label
_atom_site_fract_x
_atom_site_fract_y
_atom_site_fract_z
Ca1 0.0000 0.6079 0.0000
Ag1 0.0000 0.0000 0.0000
Sn1 0.0000 0.2327 0.5000
Bi1 0.3333 0.6667 0.5000
# - Volume: 29.1 A^3/atom
# - N(E_F): 0.419 states/eV/atom
# - M_tot: 0.00 μB/f.u.
# - VASP energy: -3.672 eV/atom
# - Formation enthalpy at 0 K: -491 meV/atom


5.
# KY2As | the Alexandria database | PBE | optimized geometry
data_KY2As
_space_group_name_H-M_alt 'I 4/m m m'
_space_group_IT_number 139
_space_group_name_Hall '-I 4 2'
_cell_length_a 4.7832
_cell_length_b 4.7832
_cell_length_c 9.7587
_cell_angle_alpha 90.00
_cell_angle_beta 90.00
_cell_angle_gamma 90.00
loop_
_atom_site_label
_atom_site_fract_x
_atom_site_fract_y
_atom_site_fract_z
K1 0.0000 0.0000 0.0000
Y1 0.0000 0.5000 0.2500
As1 0.0000 0.0000 0.5000
# - Volume: 27.9 A^3/atom
# - N(E_F): 1.083 states/eV/atom
# - M_tot: 0.00 μB/f.u.
# - VASP energy: -4.629 eV/atom
# - Formation enthalpy at 0 K: 40 meV/atom


6.
# ZnOsPt | the Alexandria database | PBE | optimized geometry
data_ZnOsPt
_space_group_name_H-M_alt 'P 3 m 1'
_space_group_IT_number 156
_cell_length_a 2.7650
_cell_length_b 2.7650
_cell_length_c 6.6384
_cell_angle_alpha 90.00
_cell_angle_beta 90.00
_cell_angle_gamma 120.00
loop_
_space_group_symop_operation_xyz
'x,y,z'
'-y,x-y,z'
'-x+y,-x,z'
'-y,-x,z'
'-x+y,y,z'
'x,x-y,z'
loop_
_atom_site_label
_atom_site_fract_x
_atom_site_fract_y
_atom_site_fract_z
Zn1 0.0000 0.0000 0.0000
Os1 0.6667 0.3333 0.3309
Pt1 0.3333 0.6667 0.6692
# - Volume: 14.7 A^3/atom
# - N(E_F): 0.582 states/eV/atom
# - M_tot: 0.00 μB/f.u.
# - VASP energy: -6.158 eV/atom
# - Formation enthalpy at 0 K: 24 meV/atom